Record 1
# K3Np3BeS8

A relaxed K3Np3BeS8 crystal (PBE, the Alexandria database).

Values from the calculation:
volume	810.8	Å³ per cell
E_tot	-6.459	eV/atom
crystal system	monoclinic

a b c (Å): 13.277 8.252 8.530
angles (deg): 90.00 119.82 90.00
Space group C2/m (No. 12)
Unique sites:
K1 0.000 0.000 0.000 x2
K2 0.250 0.250 0.000 x4
Np1 0.000 0.500 0.500 x2
Np2 0.250 0.250 0.500 x4
Be1 0.000 0.000 0.500 x2
S1 0.023 0.274 0.294 x8
S2 0.178 0.000 0.653 x4
S3 0.236 0.500 0.702 x4

Record 2
# K2Np2BeS6

A relaxed K2Np2BeS6 crystal (PBE, the Alexandria database).

Values from the calculation:
volume	611.6	Å³ per cell
E_tot	-6.288	eV/atom
crystal system	monoclinic

a b c (Å): 6.517 12.531 7.768
angles (deg): 90.00 105.40 90.00
Space group C2/m (No. 12)
Unique sites:
K1 0.000 0.152 0.000 x4
Np1 0.000 0.334 0.500 x4
Be1 0.000 0.000 0.500 x2
S1 0.215 0.000 0.353 x4
S2 0.241 0.186 0.703 x8

Record 3
# KNpBeSe3

A relaxed KNpBeSe3 crystal (PBE, the Alexandria database).

Values from the calculation:
volume	341.7	Å³ per cell
E_tot	-5.752	eV/atom
crystal system	monoclinic

a b c (Å): 9.342 4.030 9.527
angles (deg): 90.00 107.70 90.00
Space group P2_1/m (No. 11)
Unique sites:
K1 0.200 0.250 0.232 x2
Np1 0.331 0.750 0.850 x2
Be1 0.078 0.250 0.603 x2
Se1 0.107 0.250 0.843 x2
Se2 0.171 0.750 0.526 x2
Se3 0.455 0.750 0.165 x2

Record 4
# K4Np3BeSe8

A relaxed K4Np3BeSe8 crystal (PBE, the Alexandria database).

Values from the calculation:
volume	934.3	Å³ per cell
E_tot	-5.736	eV/atom
crystal system	monoclinic

a b c (Å): 14.746 8.294 9.036
angles (deg): 90.00 122.28 90.00
Space group C2/m (No. 12)
Unique sites:
K1 0.000 0.000 0.000 x2
K2 0.000 0.500 0.000 x2
K3 0.250 0.250 0.000 x4
Np1 0.000 0.000 0.500 x2
Np2 0.250 0.250 0.500 x4
Be1 0.000 0.500 0.500 x2
Se1 0.016 0.280 0.319 x8
Se2 0.235 0.000 0.709 x4
Se3 0.246 0.500 0.713 x4

Record 5
# K2Np2BeSe6

A relaxed K2Np2BeSe6 crystal (PBE, the Alexandria database).

Values from the calculation:
volume	686.6	Å³ per cell
E_tot	-5.777	eV/atom
crystal system	monoclinic

a b c (Å): 6.817 12.847 8.172
angles (deg): 90.00 106.37 90.00
Space group C2/m (No. 12)
Unique sites:
K1 0.000 0.155 0.000 x4
Np1 0.000 0.334 0.500 x4
Be1 0.000 0.000 0.500 x2
Se1 0.215 0.000 0.343 x4
Se2 0.241 0.178 0.705 x8

Record 6
# KBeO

A relaxed KBeO crystal (PBE, the Alexandria database).

Values from the calculation:
volume	58.8	Å³ per cell
crystal system	monoclinic
distance to the lowest polymorph of the same formula	0.80	eV/f.u.

a b c (Å): 2.752 3.893 5.655
angles (deg): 90.00 103.80 90.00
Space group Pm (No. 6)
Unique sites:
K1 0.000 0.000 0.000 x1
Be1 0.792 0.500 0.574 x1
O1 0.355 0.500 0.701 x1

Record 7
# K3BeO2

A relaxed K3BeO2 crystal (PBE, the Alexandria database).

Values from the calculation:
volume	764.7	Å³ per cell
E_tot	-4.238	eV/atom
crystal system	orthorhombic

a b c (Å): 5.332 19.308 7.428
angles (deg): 90.00 90.00 90.00
Space group Ibam (No. 72)
Unique sites:
K1 0.000 0.000 0.250 x4
K2 0.000 0.352 0.250 x8
Be1 0.000 0.500 0.000 x4
O1 0.167 0.442 0.000 x8

Record 8
# KBeO

A relaxed KBeO crystal (PBE, the Alexandria database).

Values from the calculation:
volume	467.9	Å³ per cell
crystal system	orthorhombic
distance to the lowest polymorph of the same formula	0.74	eV/f.u.

a b c (Å): 5.902 7.600 10.432
angles (deg): 90.00 90.00 90.00
Space group Fmmm (No. 69)
Unique sites:
K1 0.250 0.250 0.250 x8
Be1 0.165 0.000 0.000 x8
O1 0.000 0.000 0.117 x8

Record 9
# KBe3O

A relaxed KBe3O crystal (PBE, the Alexandria database).

Values from the calculation:
volume	264.5	Å³ per cell
crystal system	cubic
distance to the lowest polymorph of the same formula	8.24	eV/f.u.

a b c (Å): 6.419 6.419 6.419
angles (deg): 90.00 90.00 90.00
Space group Pm-3m (No. 221)
Unique sites:
K1 0.000 0.000 0.000 x1
Be1 0.000 0.000 0.500 x3
O1 0.500 0.500 0.500 x1

Record 10
# K2BeO

A relaxed K2BeO crystal (PBE, the Alexandria database).

Values from the calculation:
volume	434.8	Å³ per cell
crystal system	monoclinic
distance to the lowest polymorph of the same formula	0.10	eV/f.u.

a b c (Å): 10.593 5.575 7.463
angles (deg): 90.00 99.34 90.00
Space group C2/m (No. 12)
Unique sites:
K1 0.000 0.000 0.000 x2
K2 0.000 0.000 0.500 x2
K3 0.162 0.500 0.299 x4
Be1 0.189 0.500 0.759 x4
O1 0.192 0.000 0.302 x4

Record 11
# KBeO

A relaxed KBeO crystal (PBE, the Alexandria database).

Values from the calculation:
volume	275.4	Å³ per cell
crystal system	orthorhombic
distance to the lowest polymorph of the same formula	0.03	eV/f.u.

a b c (Å): 5.001 5.588 9.855
angles (deg): 90.00 90.00 90.00
Space group Imm2 (No. 44)
Unique sites:
K1 0.000 0.000 0.000 x2
K2 0.000 0.000 0.435 x2
Be1 0.204 0.500 0.225 x4
O1 0.000 0.000 0.722 x2
O2 0.000 0.500 0.343 x2

Record 12
# K2BeO

A relaxed K2BeO crystal (PBE, the Alexandria database).

Values from the calculation:
volume	270.5	Å³ per cell
crystal system	triclinic
distance to the lowest polymorph of the same formula	0.06	eV/f.u.

a b c (Å): 5.964 6.904 7.461
angles (deg): 106.07 103.04 104.80
Space group P1 (No. 1)
Unique sites:
K1 0.000 0.000 0.000 x1
K2 0.189 0.785 0.599 x1
K3 0.385 0.663 0.035 x1
K4 0.663 0.277 0.415 x1
Be1 0.588 0.219 0.947 x1
Be2 0.800 0.452 0.871 x1
O1 0.475 0.049 0.003 x1
O2 0.932 0.592 0.795 x1

Record 13
# K2BeO

A relaxed K2BeO crystal (PBE, the Alexandria database).

Values from the calculation:
volume	485.5	Å³ per cell
crystal system	monoclinic
distance to the lowest polymorph of the same formula	0.08	eV/f.u.

a b c (Å): 12.832 5.251 8.489
angles (deg): 90.00 121.92 90.00
Space group C2/m (No. 12)
Unique sites:
K1 0.112 0.000 0.304 x4
K2 0.234 0.500 0.113 x4
Be1 0.090 0.500 0.618 x4
O1 0.211 0.500 0.776 x4

Record 14
# K2Be2O3

A relaxed K2Be2O3 crystal (PBE, the Alexandria database).

Values from the calculation:
volume	83.3	Å³ per cell
crystal system	triclinic
distance to the lowest polymorph of the same formula	0.62	eV/f.u.

a b c (Å): 3.064 5.005 6.066
angles (deg): 98.26 104.47 107.80
Space group P-1 (No. 2)
Unique sites:
K1 0.228 0.296 0.155 x2
Be1 0.132 0.812 0.450 x2
O1 0.000 0.500 0.500 x1
O2 0.393 0.108 0.679 x2

Record 15
# K2BeO

A relaxed K2BeO crystal (PBE, the Alexandria database).

Values from the calculation:
volume	210.0	Å³ per cell
crystal system	tetragonal
distance to the lowest polymorph of the same formula	0.19	eV/f.u.

a b c (Å): 4.166 4.166 12.104
angles (deg): 90.00 90.00 90.00
Space group I4mm (No. 107)
Unique sites:
K1 0.000 0.000 0.000 x2
K2 0.000 0.000 0.295 x2
Be1 0.000 0.000 0.666 x2
O1 0.000 0.000 0.783 x2

Record 16
# K2BeO2

A relaxed K2BeO2 crystal (PBE, the Alexandria database).

Values from the calculation:
volume	370.1	Å³ per cell
E_tot	-5.005	eV/atom
crystal system	monoclinic

a b c (Å): 11.719 5.193 8.408
angles (deg): 90.00 133.67 90.00
Space group C2/m (No. 12)
Unique sites:
K1 0.132 0.000 0.460 x4
K2 0.215 0.500 0.805 x4
Be1 0.027 0.500 0.145 x4
O1 0.074 0.500 0.363 x4
O2 0.142 0.500 0.100 x4

Record 17
# KBeO

A relaxed KBeO crystal (PBE, the Alexandria database).

Values from the calculation:
volume	261.2	Å³ per cell
crystal system	monoclinic
distance to the lowest polymorph of the same formula	0.05	eV/f.u.

a b c (Å): 11.614 4.671 5.031
angles (deg): 90.00 106.86 90.00
Space group Cm (No. 8)
Unique sites:
K1 0.000 0.000 0.000 x2
K2 0.172 0.500 0.563 x2
Be1 0.329 0.000 0.003 x2
Be2 0.342 0.000 0.418 x2
O1 0.338 0.000 0.711 x2
O2 0.438 0.000 0.268 x2

Record 18
# KBe2O

A relaxed KBe2O crystal (PBE, the Alexandria database).

Values from the calculation:
volume	266.5	Å³ per cell
E_tot	-3.457	eV/atom
crystal system	tetragonal

a b c (Å): 5.601 5.601 8.496
angles (deg): 90.00 90.00 90.00
Space group I4_1/amd (No. 141, origin choice 2)
Unique sites:
K1 0.000 0.250 0.375 x4
Be1 0.000 0.000 0.000 x8
O1 0.000 0.250 0.875 x4

Record 19
# KBeO

A relaxed KBeO crystal (PBE, the Alexandria database).

Values from the calculation:
volume	221.9	Å³ per cell
crystal system	monoclinic
distance to the lowest polymorph of the same formula	0.21	eV/f.u.

a b c (Å): 6.086 11.683 4.268
angles (deg): 90.00 132.99 90.00
Space group C2/m (No. 12)
Unique sites:
K1 0.000 0.166 0.000 x4
Be1 0.002 0.500 0.234 x4
O1 0.000 0.394 0.000 x4

Record 20
# K2Be2O3

A relaxed K2Be2O3 crystal (PBE, the Alexandria database).

Values from the calculation:
volume	235.8	Å³ per cell
crystal system	monoclinic
distance to the lowest polymorph of the same formula	0.00	eV/f.u.

a b c (Å): 4.950 8.294 6.381
angles (deg): 90.00 115.84 90.00
Space group P2_1/c (No. 14)
Unique sites:
K1 0.216 0.148 0.425 x4
Be1 0.304 0.509 0.504 x4
O1 0.000 0.000 0.000 x2
O2 0.388 0.549 0.297 x4